Entry 1:
ZnCuNi: optimized geometry, PBEsol.

The structure in CIF format:
```
data_ZnCuNi
_space_group_name_H-M_alt 'I 4 m m'
_space_group_IT_number 107
_space_group_name_Hall 'I 4 -2'
_cell_length_a 2.619
_cell_length_b 2.619
_cell_length_c 10.038
_cell_angle_alpha 90.00
_cell_angle_beta 90.00
_cell_angle_gamma 90.00
loop_
_atom_site_label
_atom_site_type_symbol
_atom_site_fract_x
_atom_site_fract_y
_atom_site_fract_z
Zn1 Zn 0.000 0.000 0.000
Cu1 Cu 0.000 0.000 0.675
Ni1 Ni 0.000 0.000 0.337
```

Properties
ΔH_f (0 K) ... -0.12 eV per atom

Entry 2:
ZnNi2Rh: optimized geometry, PBEsol.

The structure in CIF format:
```
data_ZnNi2Rh
_space_group_name_H-M_alt 'I m m 2'
_space_group_IT_number 44
_cell_length_a 2.701
_cell_length_b 4.206
_cell_length_c 8.337
_cell_angle_alpha 90.00
_cell_angle_beta 90.00
_cell_angle_gamma 90.00
loop_
_space_group_symop_operation_xyz
'x,y,z'
'-x,-y,z'
'-x,y,z'
'x,-y,z'
'x+1/2,y+1/2,z+1/2'
'-x+1/2,-y+1/2,z+1/2'
'-x+1/2,y+1/2,z+1/2'
'x+1/2,-y+1/2,z+1/2'
loop_
_atom_site_label
_atom_site_type_symbol
_atom_site_fract_x
_atom_site_fract_y
_atom_site_fract_z
Zn1 Zn 0.000 0.000 0.000
Ni1 Ni 0.000 0.000 0.482
Ni2 Ni 0.000 0.500 0.745
Rh1 Rh 0.000 0.500 0.236
```

Properties
ΔH_f (0 K) ... -0.06 eV per atom

Entry 3:
K2AlPt: optimized geometry, PBEsol.

The structure in CIF format:
```
data_K2AlPt
_space_group_name_H-M_alt 'P 4/m m m'
_space_group_IT_number 123
_space_group_name_Hall '-P 4 2'
_cell_length_a 4.091
_cell_length_b 4.091
_cell_length_c 5.420
_cell_angle_alpha 90.00
_cell_angle_beta 90.00
_cell_angle_gamma 90.00
loop_
_atom_site_label
_atom_site_type_symbol
_atom_site_fract_x
_atom_site_fract_y
_atom_site_fract_z
K1 K 0.000 0.500 0.000
Al1 Al 0.000 0.000 0.500
Pt1 Pt 0.500 0.500 0.500
```

Properties
ΔH_f (0 K) ... 0.30 eV per atom

Entry 4:
Hf2CrSbMo: optimized geometry, PBEsol.

The structure in CIF format:
```
data_Hf2CrSbMo
_space_group_name_H-M_alt 'P 4/m m m'
_space_group_IT_number 123
_space_group_name_Hall '-P 4 2'
_cell_length_a 4.956
_cell_length_b 4.956
_cell_length_c 5.049
_cell_angle_alpha 90.00
_cell_angle_beta 90.00
_cell_angle_gamma 90.00
loop_
_atom_site_label
_atom_site_type_symbol
_atom_site_fract_x
_atom_site_fract_y
_atom_site_fract_z
Hf1 Hf 0.000 0.500 0.000
Cr1 Cr 0.000 0.000 0.500
Sb1 Sb 0.500 0.500 0.500
Mo1 Mo 0.500 0.500 0.000
```

Properties
ΔE_f (raw) ... 1.05 eV/atom

Entry 5:
KCd2Si2: optimized geometry, PBEsol.

The structure in CIF format:
```
data_KCd2Si2
_space_group_name_H-M_alt 'I 4/m m m'
_space_group_IT_number 139
_space_group_name_Hall '-I 4 2'
_cell_length_a 4.542
_cell_length_b 4.542
_cell_length_c 10.775
_cell_angle_alpha 90.00
_cell_angle_beta 90.00
_cell_angle_gamma 90.00
loop_
_atom_site_label
_atom_site_type_symbol
_atom_site_fract_x
_atom_site_fract_y
_atom_site_fract_z
K1 K 0.000 0.000 0.000
Cd1 Cd 0.000 0.500 0.250
Si1 Si 0.000 0.000 0.391
```

Properties
ΔE_f (raw) ... 0.01 eV/atom

Entry 6:
MgTeN2: optimized geometry, PBEsol.

The structure in CIF format:
```
data_MgTeN2
_space_group_name_H-M_alt 'F m -3 m'
_space_group_IT_number 225
_space_group_name_Hall '-F 4 2 3'
_cell_length_a 5.769
_cell_length_b 5.769
_cell_length_c 5.769
_cell_angle_alpha 90.00
_cell_angle_beta 90.00
_cell_angle_gamma 90.00
loop_
_atom_site_label
_atom_site_type_symbol
_atom_site_fract_x
_atom_site_fract_y
_atom_site_fract_z
Mg1 Mg 0.000 0.000 0.000
Te1 Te 0.000 0.000 0.500
N1 N 0.250 0.250 0.250
```

Properties
ΔE_f (raw) ... 0.84 eV/atom

Entry 7:
Pr2Co12P7: optimized geometry, PBEsol.

The structure in CIF format:
```
data_Pr2Co12P7
_space_group_name_H-M_alt 'P -6'
_space_group_IT_number 174
_cell_length_a 8.9905
_cell_length_b 8.9905
_cell_length_c 3.5843
_cell_angle_alpha 90.00
_cell_angle_beta 90.00
_cell_angle_gamma 120.00
loop_
_space_group_symop_operation_xyz
'x,y,z'
'-x+y,-x,-z'
'-y,x-y,z'
'x,y,-z'
'-x+y,-x,z'
'-y,x-y,-z'
loop_
_atom_site_label
_atom_site_type_symbol
_atom_site_fract_x
_atom_site_fract_y
_atom_site_fract_z
Pr1 Pr 0.0000 0.0000 0.0000
Pr2 Pr 0.3333 0.6667 0.5000
Co1 Co 0.0405 0.2754 0.5000
Co2 Co 0.0978 0.7137 0.0000
Co3 Co 0.4372 0.2066 0.0000
Co4 Co 0.5168 0.4537 0.5000
P1 P 0.0629 0.4372 0.0000
P2 P 0.2664 0.2266 0.5000
P3 P 0.6667 0.3333 0.5000
```

Properties
ΔH_f (0 K) ... -0.82 eV per atom

Entry 8:
Sr3BW: optimized geometry, PBEsol.

The structure in CIF format:
```
data_Sr3BW
_space_group_name_H-M_alt 'P m -3 m'
_space_group_IT_number 221
_space_group_name_Hall '-P 4 2 3'
_cell_length_a 5.623
_cell_length_b 5.623
_cell_length_c 5.623
_cell_angle_alpha 90.00
_cell_angle_beta 90.00
_cell_angle_gamma 90.00
loop_
_atom_site_label
_atom_site_type_symbol
_atom_site_fract_x
_atom_site_fract_y
_atom_site_fract_z
Sr1 Sr 0.000 0.000 0.500
B1 B 0.500 0.500 0.500
W1 W 0.000 0.000 0.000
```

Properties
ΔH_f (0 K) ... 1.90 eV per atom

Number 1: Fermi-level density of states 2.55 states/eV per cell. Number 2: Fermi-level density of states 12.95 states/eV per cell. Number 3: Fermi-level density of states 2.19 states/eV per cell. Number 4: Fermi-level density of states 4.36 states/eV per cell. Number 5: Fermi-level density of states 2.35 states/eV per cell. Number 6: Fermi-level density of states 5.39 states/eV per cell. Number 7: Fermi-level density of states 13.31 states/eV per cell. Number 8: Fermi-level density of states 5.44 states/eV per cell.